# GGA-PBE SmZn2GaCo2, relaxed
data_SmZn2GaCo2
_chemical_formula_sum 'Sm1 Zn2 Ga1 Co2'
_cell_length_a 4.388
_cell_length_b 4.388
_cell_length_c 5.587
_cell_angle_alpha 90.00
_cell_angle_beta 90.00
_cell_angle_gamma 90.00
_space_group_name_H-M_alt 'P 4/m m m'
_space_group_IT_number 123
_space_group_name_Hall '-P 4 2'
loop_
_atom_site_label
_atom_site_fract_x
_atom_site_fract_y
_atom_site_fract_z
Sm1 0.000 0.000 0.000
Zn1 0.500 0.500 0.251
Ga1 0.000 0.000 0.500
Co1 0.000 0.500 0.500
# DFT formation energy: 0.02 eV/atom
# DFT total energy: -24.413 eV for the cell shown
# DOS(E_F): 3.88 states/eV per cell
# Magnetic moment: 1.4 Bohr magnetons per cell